Below is an optimized crystal structure of FeGe2Pb3O8, with properties calculated at the PBE with a Hubbard U level.

uncorrected energy	-83.85	eV per cell
mass density	7.722	g cm⁻³
crystal system	trigonal
space-group type	P-3m1, No. 164

Cell and atoms, written as POSCAR:
```
FeGe2Pb3O8
1.0
5.714 0.000 0.000
-2.857 4.949 0.000
0.000 0.000 7.230
Fe Ge Pb O
1 2 3 8
direct
0.000 0.000 0.000
0.333 0.667 0.716
0.667 0.333 0.284
0.000 0.000 0.500
0.333 0.667 0.171
0.667 0.333 0.829
0.165 0.330 0.803
0.165 0.835 0.803
0.330 0.165 0.197
0.333 0.667 0.475
0.667 0.333 0.525
0.670 0.835 0.803
0.835 0.165 0.197
0.835 0.670 0.197
```